{"formula": "Be3CrF", "functional": "PBE+U", "state": "relaxed", "dft_energy_ev_per_atom": -3.758, "sg": "Pm-3m", "cell": [[3.657, 0.000, 0.000], [0.000, 3.657, 0.000], [0.000, 0.000, 3.657]], "species": ["Cr", "Be", "Be", "Be", "F"], "frac_coords": [[0.500, 0.500, 0.500], [0.000, 0.500, 0.000], [0.000, 0.000, 0.500], [0.500, 0.000, 0.000], [0.000, 0.000, 0.000]]}